Computed, not measured: a relaxed HgW2Au crystal at the PBE level of DFT.

abc: 5.238 5.238 2.802
angles: 90.19 90.19 115.50
Atoms (fractional coordinates):
W 0.500 0.500 0.000
W 0.000 0.000 0.000
Hg 0.000 0.500 0.500
Au 0.500 0.000 0.500

Output
Total magnetization ... 0.0000 μB/atom
VASP energy ... -6.700 eV/atom
ρ ... 18.31 g cm⁻³
Volume ... 17.348 Å³/atom
Space-group type ... C2/m, No. 12
Formation enthalpy at 0 K ... 0.671 eV per atom

***

Computed, not measured: a relaxed OsPtW crystal at the PBE level of DFT.

abc: 2.781 4.851 9.336
angles: 128.33 90.00 106.65
Atoms (fractional coordinates):
Os 0.095 0.190 0.435
W 0.742 0.484 0.746
Os 0.905 0.810 0.565
W 0.258 0.516 0.254
Pt 0.576 0.152 0.911
Pt 0.424 0.848 0.089

Output
Total magnetization ... 0.0000 μB/atom
VASP energy ... -10.198 eV/atom
ρ ... 20.55 g cm⁻³
Volume ... 15.327 Å³/atom
Offset from the most stable computed form ... 0.000 eV/atom
Space-group type ... C2/m, No. 12
Formation enthalpy at 0 K ... -0.123 eV per atom

***

Computed, not measured: a relaxed ThZrOs2 crystal at the PBE level of DFT.

abc: 3.321 3.321 7.247
angles: 90.00 90.00 90.00
Atoms (fractional coordinates):
Os 0.000 0.000 0.778
Th 0.500 0.500 0.500
Os 0.000 0.000 0.222
Zr 0.500 0.500 0.000

Output
Total magnetization ... 0.0000 μB/atom
VASP energy ... -9.866 eV/atom
ρ ... 14.62 g cm⁻³
Volume ... 19.981 Å³/atom
Space-group type ... P4/mmm, No. 123
Formation enthalpy at 0 K ... -0.259 eV per atom

***

Computed, not measured: a relaxed Y3Er5Co2 crystal at the PBE level of DFT.

abc: 7.632 9.682 9.682
angles: 62.80 66.79 66.79
Atoms (fractional coordinates):
Er 0.504 0.746 0.746
Er 0.750 0.500 0.500
Er 0.376 0.865 0.383
Er 0.496 0.254 0.254
Co 0.368 0.129 0.135
Y 0.125 0.133 0.618
Co 0.632 0.871 0.865
Er 0.004 0.746 0.746
Y 0.875 0.867 0.382
Y 0.250 0.000 0.000
Er 0.876 0.383 0.865
Er 0.996 0.254 0.254
Y 0.625 0.618 0.133
Er 0.124 0.617 0.135
Co 0.132 0.865 0.871
Y 0.375 0.382 0.867
Er 0.624 0.135 0.617
Y 0.750 0.000 0.000
Er 0.250 0.500 0.500
Co 0.868 0.135 0.129

Output
Total magnetization ... 0.0000 μB/atom
VASP energy ... -5.676 eV/atom
ρ ... 7.18 g cm⁻³
Volume ... 28.220 Å³/atom
Space-group type ... Ibam, No. 72
Formation enthalpy at 0 K ... -0.034 eV per atom

***

Computed, not measured: a relaxed Cr9Ru4Rh11 crystal at the PBE level of DFT.

abc: 11.185 11.185 2.674
angles: 90.00 90.00 105.75
Atoms (fractional coordinates):
Rh 0.788 0.212 0.000
Rh 0.609 0.973 0.000
Rh 0.628 0.372 0.000
Cr 0.577 0.162 0.500
Ru 0.739 0.587 0.500
Ru 0.413 0.261 0.500
Rh 0.372 0.628 0.000
Rh 0.212 0.788 0.000
Cr 0.423 0.838 0.500
Cr 0.015 0.809 0.500
Cr 0.191 0.985 0.500
Rh 0.000 0.000 0.000
Rh 0.391 0.027 0.000
Rh 0.027 0.391 0.000
Rh 0.973 0.609 0.000
Rh 0.806 0.806 0.000
Cr 0.162 0.577 0.500
Cr 0.985 0.191 0.500
Cr 0.809 0.015 0.500
Ru 0.261 0.413 0.500
Ru 0.587 0.739 0.500
Cr 0.500 0.500 0.500
Cr 0.838 0.423 0.500
Rh 0.194 0.194 0.000

Output
Total magnetization ... 0.0616 μB/atom
VASP energy ... -8.482 eV/atom
ρ ... 10.34 g cm⁻³
Volume ... 13.413 Å³/atom
Space-group type ... Cmmm, No. 65
Formation enthalpy at 0 K ... 0.042 eV per atom

***

Computed, not measured: a relaxed MgOs2Br crystal at the PBE level of DFT.

abc: 2.885 4.655 4.938
angles: 90.00 90.00 90.00
Atoms (fractional coordinates):
Os 0.000 0.000 0.000
Mg 0.000 0.500 0.500
Br 0.500 0.000 0.500
Os 0.500 0.500 0.000

Output
Total magnetization ... 0.0269 μB/atom
VASP energy ... -5.618 eV/atom
ρ ... 12.14 g cm⁻³
Volume ... 16.579 Å³/atom
Energy relative to the elements, uncorrected ... 0.814 eV/atom
Offset from the most stable computed form ... 0.559 eV/atom
Space-group type ... Pmmm, No. 47

***

Computed, not measured: a relaxed ErMgGa crystal at the PBE level of DFT.

abc: 3.334 3.334 6.528
angles: 104.79 104.79 90.00
Atoms (fractional coordinates):
Er 0.934 0.934 0.869
Ga 0.278 0.278 0.557
Mg 0.637 0.637 0.274

Output
Total magnetization ... 0.0400 μB/atom
VASP energy ... -3.335 eV/atom
ρ ... 6.41 g cm⁻³
Volume ... 22.552 Å³/atom
Space-group type ... I4mm, No. 107
Formation enthalpy at 0 K ... -0.273 eV per atom

***

Computed, not measured: a relaxed K4LaTh3Se8 crystal at the PBE level of DFT.

abc: 8.574 9.256 8.574
angles: 117.60 120.00 90.00
Atoms (fractional coordinates):
Th 0.000 0.500 0.500
Se 0.739 0.716 0.477
Th 0.500 0.500 0.500
Se 0.757 0.283 0.515
Th 0.500 0.500 0.000
La 0.000 0.500 0.000
K 0.000 0.000 0.500
Se 0.261 0.284 0.523
K 0.500 0.000 0.000
Se 0.732 0.717 0.974
Se 0.268 0.283 0.026
Se 0.243 0.717 0.974
K 0.500 0.000 0.500
K 0.000 0.000 0.000
Se 0.757 0.283 0.026
Se 0.243 0.717 0.485

Output
Total magnetization ... 0.0000 μB/atom
VASP energy ... -5.322 eV/atom
ρ ... 5.41 g cm⁻³
Volume ... 31.119 Å³/atom
Energy relative to the elements, uncorrected ... -1.606 eV/atom
Space-group type ... R-3m, No. 166